VASP calculation (GGA-PBE) on a geometry-optimized TbCe4Th5 structure.

POSCAR file:
```
TbCe4Th5
1.0
-3.4069 -0.7729 0.2730
0.5636 -3.0562 -1.6189
4.1534 -10.6765 21.6014
Tb Ce Th
1 4 5
Direct
0.0000 0.0000 0.0000
0.0000 0.0000 0.2052
0.0000 0.0000 0.4016
0.0000 0.0000 0.5984
0.0000 0.0000 0.7948
0.5000 0.5000 0.1056
0.5000 0.5000 0.3032
0.5000 0.5000 0.5000
0.5000 0.5000 0.6968
0.5000 0.5000 0.8944
```

Results
Magnetic moment = 0.000 μB/f.u.
Electronic total energy = -65.28 eV for the cell shown
Volume = 300 Å³/f.u.
Space group = P4/mmm
ΔE_f = 0.02 eV per atom


VASP calculation (GGA-PBE) on a geometry-optimized Tb7Ce2Th2 structure.

POSCAR file:
```
Tb7Ce2Th2
1.0
-2.7791 4.1426 -3.4369
-4.8332 -4.1734 -4.7579
-6.0486 2.6506 4.4501
Tb Ce Th
7 2 2
Direct
0.1825 0.0672 0.5861
0.8175 0.4139 0.9328
0.8175 0.9328 0.4139
0.1825 0.5861 0.0672
0.0000 0.0000 0.0000
0.8021 0.4154 0.4154
0.1979 0.5846 0.5846
0.5000 0.7971 0.2029
0.5000 0.2029 0.7971
0.5755 0.7784 0.7784
0.4245 0.2216 0.2216
```

Results
Magnetic moment = 0.792 μB/f.u.
Electronic total energy = -56.71 eV for the cell shown
Volume = 356 Å³/f.u.
Space group = C2/m
ΔE_f = 0.22 eV per atom


VASP calculation (GGA-PBE) on a geometry-optimized TbCe2Th9 structure.

POSCAR file:
```
TbCe2Th9
1.0
4.9939 0.0000 0.0000
0.0000 4.9939 0.0000
0.0000 0.0000 15.0475
Tb Ce Th
1 2 9
Direct
0.0000 0.0000 0.0000
0.0000 0.0000 0.3343
0.0000 0.0000 0.6657
0.5000 0.5000 0.0000
0.5000 0.5000 0.3366
0.5000 0.5000 0.6634
0.5000 0.0000 0.1703
0.5000 0.0000 0.5000
0.5000 0.0000 0.8297
0.0000 0.5000 0.1703
0.0000 0.5000 0.5000
0.0000 0.5000 0.8297
```

Results
Magnetic moment = 0.000 μB/f.u.
Electronic total energy = -82.92 eV for the cell shown
Volume = 375 Å³/f.u.
Space group = P4/mmm
ΔE_f = 0.03 eV per atom


VASP calculation (GGA-PBE) on a geometry-optimized TbCe3Th3 structure.

POSCAR file:
```
TbCe3Th3
1.0
-2.6160 5.8325 -5.2990
-7.4910 3.2531 1.4975
-0.1332 7.7930 2.8620
Tb Ce Th
2 6 6
Direct
0.4218 0.4218 0.4218
0.5782 0.5782 0.5782
0.4945 0.3163 0.0505
0.3163 0.0505 0.4945
0.0505 0.4945 0.3163
0.9495 0.5055 0.6837
0.6837 0.9495 0.5055
0.5055 0.6837 0.9495
0.8785 0.3283 0.1644
0.1644 0.8785 0.3283
0.3283 0.1644 0.8785
0.6717 0.8356 0.1215
0.8356 0.1215 0.6717
0.1215 0.6717 0.8356
```

Results
Magnetic moment = 0.007 μB/f.u.
Electronic total energy = -85.53 eV for the cell shown
Volume = 219 Å³/f.u.
Space group = R-3
ΔE_f = 0.27 eV per atom


VASP calculation (GGA-PBE) on a geometry-optimized Tb3CeTh3 structure.

POSCAR file:
```
Tb3CeTh3
1.0
7.8349 0.4086 3.9360
2.6001 7.4022 3.9360
0.5459 0.4086 8.7510
Tb Ce Th
6 2 6
Direct
0.7391 0.5647 0.0567
0.0567 0.7391 0.5647
0.5647 0.0567 0.7391
0.4353 0.9433 0.2609
0.9433 0.2609 0.4353
0.2609 0.4353 0.9433
0.3593 0.3593 0.3593
0.6407 0.6407 0.6407
0.7073 0.2036 0.9285
0.2036 0.9285 0.7073
0.9285 0.7073 0.2036
0.0715 0.2927 0.7964
0.7964 0.0715 0.2927
0.2927 0.7964 0.0715
```

Results
Magnetic moment = 1.041 μB/f.u.
Electronic total energy = -79.62 eV for the cell shown
Volume = 237 Å³/f.u.
Space group = R-3
ΔE_f = 0.32 eV per atom


VASP calculation (GGA-PBE) on a geometry-optimized TbCe2Th structure.

POSCAR file:
```
TbCe2Th
1.0
3.4817 0.0000 0.0000
1.7408 3.0152 0.0000
1.7408 1.0051 11.5492
Tb Ce Th
1 2 1
Direct
0.6674 0.6674 0.9977
0.0837 0.0837 0.7488
0.2491 0.2491 0.2527
0.4997 0.4997 0.5008
```

Results
Magnetic moment = 0.636 μB/f.u.
Electronic total energy = -23.54 eV for the cell shown
Volume = 121 Å³/f.u.
Space group = R3m
ΔE_f = 0.09 eV per atom


VASP calculation (GGA-PBE) on a geometry-optimized Tb2Ce2Th3 structure.

POSCAR file:
```
Tb2Ce2Th3
1.0
-1.2078 3.9411 -8.2345
3.1010 -3.8947 -8.0190
-5.2109 -2.8823 -0.6152
Tb Ce Th
4 4 6
Direct
0.4289 0.8505 0.4703
0.9289 0.8505 0.0297
0.0711 0.1495 0.9703
0.5711 0.1495 0.5297
0.6418 0.2997 0.0640
0.1418 0.2997 0.4360
0.8582 0.7003 0.5640
0.3582 0.7003 0.9360
0.0000 0.0000 0.5000
0.5000 0.0000 0.0000
0.7776 0.5748 0.0732
0.7224 0.4252 0.5732
0.2776 0.5748 0.4268
0.2224 0.4252 0.9268
```

Results
Magnetic moment = 0.223 μB/f.u.
Electronic total energy = -84.85 eV for the cell shown
Volume = 219 Å³/f.u.
Space group = P2_1/c
ΔE_f = 0.14 eV per atom


VASP calculation (GGA-PBE) on a geometry-optimized Tb2CeTh structure.

POSCAR file:
```
Tb2CeTh
1.0
-3.4852 1.3133 -2.9984
2.3928 -1.9443 -3.6330
-3.4123 -10.3442 3.2887
Tb Ce Th
4 2 2
Direct
0.5620 0.2500 0.1224
0.4380 0.7500 0.8776
0.0625 0.7500 0.1234
0.9375 0.2500 0.8766
0.6869 0.7500 0.3694
0.3131 0.2500 0.6306
0.1864 0.2500 0.3689
0.8136 0.7500 0.6311
```

Results
Magnetic moment = 0.000 μB/f.u.
Electronic total energy = -43.41 eV for the cell shown
Volume = 127 Å³/f.u.
Space group = P2_1/m
ΔE_f = 0.23 eV per atom


VASP calculation (GGA-PBE) on a geometry-optimized Tb2CeTh structure.

POSCAR file:
```
Tb2CeTh
1.0
3.5518 0.0013 0.0174
1.7752 3.0752 -0.0487
-0.0566 0.2147 11.4289
Tb Ce Th
2 1 1
Direct
0.0441 0.6666 0.5314
0.3781 0.9992 0.2783
0.3771 0.9996 0.7784
0.7114 0.3317 0.0227
```

Results
Magnetic moment = 0.005 μB/f.u.
Electronic total energy = -22.41 eV for the cell shown
Volume = 125 Å³/f.u.
Space group = P3m1
ΔE_f = 0.05 eV per atom


VASP calculation (GGA-PBE) on a geometry-optimized Tb2CeTh4 structure.

POSCAR file:
```
Tb2CeTh4
1.0
3.5070 0.0000 -0.4628
0.0000 3.5256 0.0000
0.5871 0.0000 17.9696
Tb Th Ce
2 4 1
Direct
0.7926 0.5000 0.5853
0.2074 0.5000 0.4147
0.9319 0.5000 0.8639
0.6376 0.0000 0.2751
0.0681 0.5000 0.1361
0.3624 0.0000 0.7249
0.5000 0.0000 0.0000
```

Results
Magnetic moment = 0.000 μB/f.u.
Electronic total energy = -44.35 eV for the cell shown
Volume = 223 Å³/f.u.
Space group = Cmmm
ΔE_f = 0.07 eV per atom


VASP calculation (GGA-PBE) on a geometry-optimized Tb2CeTh4 structure.

POSCAR file:
```
Tb2CeTh4
1.0
5.5795 0.0000 0.0000
0.0000 5.5795 0.0000
-2.7898 -2.7898 8.2288
Tb Ce Th
2 1 4
Direct
0.3804 0.3804 0.7607
0.6196 0.6196 0.2393
0.0000 0.0000 0.0000
0.1765 0.1765 0.3529
0.8235 0.8235 0.6471
0.0000 0.5000 0.0000
0.5000 0.0000 0.0000
```

Results
Magnetic moment = 0.003 μB/f.u.
Electronic total energy = -39.62 eV for the cell shown
Volume = 256 Å³/f.u.
Space group = I4/mmm
ΔE_f = 0.75 eV per atom


VASP calculation (GGA-PBE) on a geometry-optimized TbCeTh2 structure.

POSCAR file:
```
TbCeTh2
1.0
-2.3809 1.7370 -1.9639
-3.4552 -0.6591 0.4126
-2.5561 8.5698 7.4851
Tb Ce Th
1 1 2
Direct
0.4986 0.4986 0.5043
0.6677 0.6677 0.9968
0.0818 0.0818 0.7546
0.2519 0.2519 0.2444
```

Results
Magnetic moment = 0.000 μB/f.u.
Electronic total energy = -25.24 eV for the cell shown
Volume = 125 Å³/f.u.
Space group = R3m
ΔE_f = 0.04 eV per atom


VASP calculation (GGA-PBE) on a geometry-optimized Tb4CeTh structure.

POSCAR file:
```
Tb4CeTh
1.0
10.6496 0.0000 0.0000
0.0000 6.0942 0.9530
0.0000 1.1595 6.0602
Tb Ce Th
8 2 2
Direct
0.6655 0.0003 0.9997
0.8345 0.0003 0.4997
0.3358 0.4997 0.5003
0.8358 0.5003 0.9997
0.1642 0.4997 0.0003
0.6642 0.5003 0.4997
0.1655 0.9997 0.5003
0.3345 0.9997 0.0003
0.0000 0.5000 0.5000
0.5000 0.5000 0.0000
0.5000 0.0000 0.5000
0.0000 0.0000 0.0000
```

Results
Magnetic moment = 1.263 μB/f.u.
Electronic total energy = -62.87 eV for the cell shown
Volume = 191 Å³/f.u.
Space group = C2/m
ΔE_f = 0.07 eV per atom


VASP calculation (GGA-PBE) on a geometry-optimized Tb2CeTh structure.

POSCAR file:
```
Tb2CeTh
1.0
5.6547 0.0000 0.0000
2.8274 4.8971 0.0000
2.8274 1.6324 4.6171
Tb Ce Th
2 1 1
Direct
0.2500 0.2500 0.2500
0.7500 0.7500 0.7500
0.5000 0.5000 0.5000
0.0000 0.0000 0.0000
```

Results
Magnetic moment = 0.800 μB/f.u.
Electronic total energy = -21.80 eV for the cell shown
Volume = 128 Å³/f.u.
Space group = Fm-3m
ΔE_f = 0.20 eV per atom


VASP calculation (GGA-PBE) on a geometry-optimized Tb2CeTh structure.

POSCAR file:
```
Tb2CeTh
1.0
3.5330 0.0000 0.0000
1.7665 3.0597 0.0000
1.7665 1.0199 11.5971
Tb Ce Th
2 1 1
Direct
0.0817 0.0817 0.7549
0.2515 0.2515 0.2454
0.6666 0.6666 0.0003
0.5002 0.5002 0.4994
```

Results
Magnetic moment = 0.533 μB/f.u.
Electronic total energy = -22.32 eV for the cell shown
Volume = 125 Å³/f.u.
Space group = R3m
ΔE_f = 0.07 eV per atom


VASP calculation (GGA-PBE) on a geometry-optimized TbCeTh2 structure.

POSCAR file:
```
TbCeTh2
1.0
-1.6359 -2.1594 -2.2667
2.4955 -2.4438 0.5270
-5.3220 -3.8213 7.4813
Tb Ce Th
1 1 2
Direct
0.5000 0.5000 0.5000
0.5000 0.5000 0.0000
0.0000 0.0000 0.7573
0.0000 0.0000 0.2427
```

Results
Magnetic moment = 0.000 μB/f.u.
Electronic total energy = -25.28 eV for the cell shown
Volume = 124 Å³/f.u.
Space group = P4/mmm
ΔE_f = 0.03 eV per atom


VASP calculation (GGA-PBE) on a geometry-optimized Tb2CeTh structure.

POSCAR file:
```
Tb2CeTh
1.0
5.0624 0.0000 0.0000
0.0000 4.9815 0.0000
0.0000 0.0000 4.9815
Tb Ce Th
2 1 1
Direct
0.0000 0.0000 0.5000
0.0000 0.5000 0.0000
0.5000 0.5000 0.5000
0.5000 0.0000 0.0000
```

Results
Magnetic moment = 0.900 μB/f.u.
Electronic total energy = -22.28 eV for the cell shown
Volume = 126 Å³/f.u.
Space group = P4/mmm
ΔE_f = 0.08 eV per atom


VASP calculation (GGA-PBE) on a geometry-optimized TbCe3Th12 structure.

POSCAR file:
```
TbCe3Th12
1.0
4.9872 0.0000 0.0000
0.0000 4.9872 0.0000
0.0000 0.0000 20.0446
Tb Ce Th
1 3 12
Direct
0.0000 0.0000 0.0000
0.0000 0.0000 0.2516
0.0000 0.0000 0.5000
0.0000 0.0000 0.7484
0.5000 0.5000 0.0000
0.5000 0.5000 0.2534
0.5000 0.5000 0.5000
0.5000 0.5000 0.7466
0.5000 0.0000 0.1278
0.5000 0.0000 0.3762
0.5000 0.0000 0.6238
0.5000 0.0000 0.8722
0.0000 0.5000 0.1278
0.0000 0.5000 0.3762
0.0000 0.5000 0.6238
0.0000 0.5000 0.8722
```

Results
Magnetic moment = 0.000 μB/f.u.
Electronic total energy = -111.10 eV for the cell shown
Volume = 499 Å³/f.u.
Space group = P4/mmm
ΔE_f = 0.02 eV per atom


VASP calculation (GGA-PBE) on a geometry-optimized TbCe6Th2 structure.

POSCAR file:
```
TbCe6Th2
1.0
3.4005 0.0000 0.0000
0.0000 8.2697 -4.7745
0.0000 0.0000 9.5491
Tb Ce Th
1 6 2
Direct
0.5000 0.0000 0.0000
0.2225 0.6521 0.6726
0.2225 0.0205 0.3479
0.2225 0.3274 0.9795
0.7775 0.3479 0.3274
0.7775 0.9795 0.6521
0.7775 0.6726 0.0205
0.2712 0.6667 0.3333
0.7288 0.3333 0.6667
```

Results
Magnetic moment = 0.022 μB/f.u.
Electronic total energy = -53.42 eV for the cell shown
Volume = 269 Å³/f.u.
Space group = P-3
ΔE_f = 0.18 eV per atom


VASP calculation (GGA-PBE) on a geometry-optimized TbCeTh2 structure.

POSCAR file:
```
TbCeTh2
1.0
4.9282 0.0000 0.0000
0.0000 5.0231 0.0000
0.0000 0.0000 5.0231
Tb Ce Th
1 1 2
Direct
0.5000 0.5000 0.5000
0.5000 0.0000 0.0000
0.0000 0.0000 0.5000
0.0000 0.5000 0.0000
```

Results
Magnetic moment = 0.454 μB/f.u.
Electronic total energy = -25.12 eV for the cell shown
Volume = 124 Å³/f.u.
Space group = P4/mmm
ΔE_f = 0.07 eV per atom


VASP calculation (GGA-PBE) on a geometry-optimized TbCeTh4 structure.

POSCAR file:
```
TbCeTh4
1.0
3.5546 0.0000 0.0000
0.0000 3.5546 0.0000
0.0000 0.0000 14.9268
Tb Ce Th
1 1 4
Direct
0.0000 0.0000 0.0000
0.5000 0.5000 0.5000
0.5000 0.5000 0.1733
0.0000 0.0000 0.6611
0.0000 0.0000 0.3389
0.5000 0.5000 0.8267
```

Results
Magnetic moment = 0.001 μB/f.u.
Electronic total energy = -40.08 eV for the cell shown
Volume = 189 Å³/f.u.
Space group = P4/mmm
ΔE_f = 0.03 eV per atom


VASP calculation (GGA-PBE) on a geometry-optimized TbCe4Th15 structure.

POSCAR file:
```
TbCe4Th15
1.0
4.9951 0.0000 0.0000
0.0000 4.9951 0.0000
0.0000 0.0000 24.8640
Tb Ce Th
1 4 15
Direct
0.0000 0.0000 0.0000
0.0000 0.0000 0.2016
0.0000 0.0000 0.4006
0.0000 0.0000 0.5994
0.0000 0.0000 0.7984
0.5000 0.5000 0.0000
0.5000 0.5000 0.2027
0.5000 0.5000 0.4008
0.5000 0.5000 0.5992
0.5000 0.5000 0.7973
0.5000 0.0000 0.1024
0.5000 0.0000 0.3014
0.5000 0.0000 0.5000
0.5000 0.0000 0.6986
0.5000 0.0000 0.8976
0.0000 0.5000 0.1024
0.0000 0.5000 0.3014
0.0000 0.5000 0.5000
0.0000 0.5000 0.6986
0.0000 0.5000 0.8976
```

Results
Magnetic moment = 0.001 μB/f.u.
Electronic total energy = -139.41 eV for the cell shown
Volume = 620 Å³/f.u.
Space group = P4/mmm
ΔE_f = 0.01 eV per atom


VASP calculation (GGA-PBE) on a geometry-optimized Tb12CeTh7 structure.

POSCAR file:
```
Tb12CeTh7
1.0
9.3960 0.0000 -3.3220
-4.6980 8.1372 -3.3220
0.0000 0.0000 9.9660
Tb Ce Th
12 1 7
Direct
0.4542 0.6951 0.7590
0.9361 0.6951 0.2410
0.5458 0.3049 0.2410
0.0639 0.3049 0.7590
0.7590 0.0639 0.3049
0.7590 0.4542 0.6951
0.2410 0.9361 0.6951
0.2410 0.5458 0.3049
0.6951 0.7590 0.4542
0.3049 0.2410 0.5458
0.6951 0.2410 0.9361
0.3049 0.7590 0.0639
0.0000 0.0000 0.0000
0.5000 0.5000 0.0000
0.0000 0.5000 0.5000
0.5000 0.0000 0.5000
0.5000 0.5000 0.5000
0.0000 0.0000 0.5000
0.5000 0.0000 0.0000
0.0000 0.5000 0.0000
```

Results
Magnetic moment = 0.911 μB/f.u.
Electronic total energy = -94.62 eV for the cell shown
Volume = 762 Å³/f.u.
Space group = Im-3
ΔE_f = 0.94 eV per atom